{"formula": "Pm4TmAl", "functional": "PBE-GGA", "state": "optimized geometry", "formation_energy_ev_per_atom": -0.0256, "polymorph_energy_mev_per_atom": 73, "e_tot_ev_per_atom": -4.562, "lattice_angstrom": [[6.3016, -0.6564, 0.0000], [-2.5105, 8.7050, 0.0000], [-1.8955, -4.0243, 7.0363]], "species": ["Tm", "Pm", "Pm", "Tm", "Pm", "Al", "Pm", "Pm", "Pm", "Al", "Pm", "Pm"], "frac_coords": [[0.6583, 0.4083, 0.8167], [0.9556, 0.8305, 0.2253], [0.0444, 0.1695, 0.7747], [0.3417, 0.5917, 0.1833], [0.3685, 0.9158, 0.6314], [0.7502, 0.0002, 0.0004], [0.7697, 0.3948, 0.2253], [0.2370, 0.2844, 0.3686], [0.6315, 0.0842, 0.3686], [0.2498, 0.9998, 0.9996], [0.7630, 0.7156, 0.6314], [0.2303, 0.6052, 0.7747]]}

{"formula": "PmTm2Al2", "functional": "PBE-GGA", "state": "optimized geometry", "formation_energy_ev_per_atom": -0.2964, "polymorph_energy_mev_per_atom": 0, "e_tot_ev_per_atom": -4.532, "lattice_angstrom": [[-1.4430, 2.6772, -1.9618], [-4.7094, -2.0722, 0.6363], [-0.9659, 5.9190, 12.1271]], "species": ["Al", "Al", "Tm", "Tm", "Tm", "Pm", "Al", "Al", "Tm", "Pm"], "frac_coords": [[0.6401, 0.7500, 0.2812], [0.3599, 0.2500, 0.7188], [0.9531, 0.2500, 0.9059], [0.0469, 0.7500, 0.0941], [0.2326, 0.7500, 0.4662], [0.8561, 0.7500, 0.7101], [0.5470, 0.2500, 0.0938], [0.4530, 0.7500, 0.9062], [0.7674, 0.2500, 0.5338], [0.1439, 0.2500, 0.2899]]}

{"formula": "Pm3TmAl", "functional": "PBE-GGA", "state": "optimized geometry", "formation_energy_ev_per_atom": -0.1214, "polymorph_energy_mev_per_atom": 0, "e_tot_ev_per_atom": -4.615, "lattice_angstrom": [[3.6596, 0.0002, 0.0002], [1.8293, 6.5373, 0.6132], [-0.0006, 0.0475, 12.5266]], "species": ["Pm", "Al", "Pm", "Pm", "Pm", "Tm", "Tm", "Pm", "Pm", "Al"], "frac_coords": [[0.0374, 0.9251, 0.1955], [0.4461, 0.1079, 0.3776], [0.6368, 0.7265, 0.9777], [0.3632, 0.2735, 0.0223], [0.1422, 0.7156, 0.4464], [0.2189, 0.5621, 0.7463], [0.7811, 0.4379, 0.2537], [0.9626, 0.0749, 0.8045], [0.8578, 0.2844, 0.5536], [0.5539, 0.8921, 0.6224]]}

{"formula": "Pm3Tm2Al3", "functional": "PBE-GGA", "state": "optimized geometry", "formation_energy_ev_per_atom": -0.2318, "polymorph_energy_mev_per_atom": 48, "e_tot_ev_per_atom": -4.535, "lattice_angstrom": [[-2.2860, -1.2830, -1.9874], [4.7910, -6.9963, -0.9944], [-5.7202, 0.3930, 6.3258]], "species": ["Al", "Pm", "Al", "Pm", "Pm", "Tm", "Tm", "Al"], "frac_coords": [[0.5000, 0.3891, 0.3891], [0.0000, 0.2442, 0.0000], [0.5000, 0.0000, 0.6109], [0.0000, 0.0000, 0.2442], [0.0000, 0.7558, 0.7558], [0.0000, 0.3333, 0.6667], [0.0000, 0.6667, 0.3333], [0.5000, 0.6109, 0.0000]]}

{"formula": "PmTm2Al2", "functional": "PBE-GGA", "state": "optimized geometry", "formation_energy_ev_per_atom": -0.1616, "polymorph_energy_mev_per_atom": 135, "e_tot_ev_per_atom": -4.397, "lattice_angstrom": [[3.7296, 0.0000, 0.0000], [0.0000, 5.5571, -0.0294], [0.0000, -1.4357, 13.0522]], "species": ["Pm", "Al", "Tm", "Tm", "Al", "Al", "Al", "Tm", "Tm", "Pm"], "frac_coords": [[0.2500, 0.6798, 0.2338], [0.2500, 0.7940, 0.6579], [0.7500, 0.7403, 0.4644], [0.7500, 0.1516, 0.1098], [0.7500, 0.2060, 0.3421], [0.7500, 0.6459, 0.0378], [0.2500, 0.3541, 0.9622], [0.2500, 0.2597, 0.5356], [0.2500, 0.8484, 0.8902], [0.7500, 0.3202, 0.7662]]}

{"formula": "Pm2TmAl2Zn2", "functional": "PBE-GGA", "state": "optimized geometry", "formation_energy_ev_per_atom": -0.3147, "e_tot_ev_per_atom": -3.744, "lattice_angstrom": [[4.5024, 0.0000, 0.0000], [2.2512, 3.8992, 0.0000], [2.2512, 1.2997, 9.3015]], "species": ["Pm", "Tm", "Al", "Zn", "Pm", "Zn", "Al"], "frac_coords": [[0.8745, 0.8745, 0.3764], [0.0000, 0.0000, 0.0000], [0.7298, 0.7298, 0.8105], [0.3907, 0.3907, 0.8278], [0.1255, 0.1255, 0.6236], [0.6093, 0.6093, 0.1722], [0.2702, 0.2702, 0.1895]]}

{"formula": "PmTm2Al2Zn2", "functional": "PBE-GGA", "state": "optimized geometry", "formation_energy_ev_per_atom": -0.3059, "e_tot_ev_per_atom": -3.695, "lattice_angstrom": [[4.5213, 0.0000, 0.0000], [2.2606, 3.9156, 0.0000], [2.2606, 1.3052, 9.0470]], "species": ["Zn", "Tm", "Tm", "Zn", "Pm", "Al", "Al"], "frac_coords": [[0.5950, 0.5950, 0.2149], [0.8709, 0.8709, 0.3873], [0.1291, 0.1291, 0.6127], [0.4050, 0.4050, 0.7851], [0.0000, 0.0000, 0.0000], [0.7411, 0.7411, 0.7766], [0.2589, 0.2589, 0.2234]]}

{"formula": "PmUAl2", "functional": "PBE-GGA", "state": "optimized geometry", "formation_energy_ev_per_atom": -0.0796, "e_tot_ev_per_atom": -5.961, "lattice_angstrom": [[3.1133, 0.0000, 0.0000], [0.0000, 3.1133, 0.0000], [0.0000, 0.0000, 9.1695]], "species": ["Pm", "Al", "Al", "U"], "frac_coords": [[0.5000, 0.5000, 0.5000], [0.0000, 0.0000, 0.7577], [0.0000, 0.0000, 0.2424], [0.5000, 0.5000, 0.0000]]}

{"formula": "PmAl2V", "functional": "PBE-GGA", "state": "optimized geometry", "formation_energy_ev_per_atom": 0.1411, "polymorph_energy_mev_per_atom": 287, "e_tot_ev_per_atom": -5.198, "lattice_angstrom": [[-2.1836, -1.3683, -1.5546], [-0.7940, -2.8208, 0.6850], [-7.6680, 2.0278, 6.0730]], "species": ["V", "Al", "Al", "Pm"], "frac_coords": [[0.0000, 0.0000, 0.0000], [0.2625, 0.2625, 0.2124], [0.7375, 0.7375, 0.7876], [0.5000, 0.5000, 0.5000]]}

{"formula": "PmAl2V", "functional": "PBE-GGA", "state": "optimized geometry", "formation_energy_ev_per_atom": -0.1458, "polymorph_energy_mev_per_atom": 0, "e_tot_ev_per_atom": -5.484, "lattice_angstrom": [[-0.5831, 0.6949, 3.1883], [-2.2647, -2.4180, 0.1128], [5.0938, -4.6799, 1.9517]], "species": ["Al", "Pm", "V", "Al"], "frac_coords": [[0.0000, 0.0000, 0.8078], [0.5000, 0.5000, 0.5000], [0.5000, 0.5000, 0.0000], [0.0000, 0.0000, 0.1922]]}

{"formula": "PmAlW", "functional": "PBE-GGA", "state": "optimized geometry", "formation_energy_ev_per_atom": 0.2965, "e_tot_ev_per_atom": -6.852, "lattice_angstrom": [[8.3455, 0.0000, 0.0000], [4.1727, 7.2274, 0.0000], [4.1727, 2.4091, 3.2163]], "species": ["W", "Al", "W", "Pm", "W", "Al", "Pm", "Pm", "Al"], "frac_coords": [[0.2945, 0.2945, 0.1164], [0.2942, 0.6214, 0.1173], [0.0278, 0.0278, 0.9167], [0.7942, 0.5008, 0.6173], [0.5612, 0.5612, 0.3165], [0.9671, 0.2942, 0.1173], [0.0877, 0.7942, 0.6173], [0.5008, 0.0877, 0.6173], [0.6214, 0.9671, 0.1173]]}

{"formula": "Pm2YAl2", "functional": "PBE-GGA", "state": "optimized geometry", "formation_energy_ev_per_atom": -0.3229, "polymorph_energy_mev_per_atom": 0, "e_tot_ev_per_atom": -5.013, "lattice_angstrom": [[4.4914, 0.0000, 2.0133], [1.7048, 5.1074, 2.2133], [0.0952, -0.4419, 5.8040]], "species": ["Pm", "Al", "Y", "Al", "Pm"], "frac_coords": [[0.8033, 0.6967, 0.6967], [0.5000, 0.3024, 0.6976], [0.0000, 0.0000, 0.0000], [0.5000, 0.6976, 0.3024], [0.1967, 0.3033, 0.3033]]}

{"formula": "PmY3Al", "functional": "PBE-GGA", "state": "optimized geometry", "formation_energy_ev_per_atom": -0.1498, "e_tot_ev_per_atom": -5.727, "lattice_angstrom": [[3.6179, 0.0001, -0.6687], [-0.3754, 8.4177, -2.0360], [-0.0669, -0.1214, 9.7498]], "species": ["Y", "Al", "Y", "Y", "Pm", "Y", "Y", "Y", "Pm", "Al"], "frac_coords": [[0.2315, 0.7257, 0.7198], [0.8194, 0.5541, 0.8959], [0.5990, 0.4989, 0.4556], [0.6133, 0.9230, 0.4839], [0.8148, 0.0622, 0.8865], [0.4156, 0.8241, 0.0890], [0.4149, 0.4005, 0.0863], [0.2172, 0.3016, 0.6915], [0.0157, 0.1624, 0.2888], [0.0111, 0.6705, 0.2794]]}

{"formula": "PmY4Al", "functional": "PBE-GGA", "state": "optimized geometry", "formation_energy_ev_per_atom": -0.1299, "polymorph_energy_mev_per_atom": 0, "e_tot_ev_per_atom": -5.855, "lattice_angstrom": [[3.5778, 0.0000, 0.0000], [0.0000, 3.5778, 0.0000], [0.0000, 0.0000, 14.0584]], "species": ["Y", "Pm", "Y", "Y", "Al", "Y"], "frac_coords": [[0.0000, 0.0000, 0.6326], [0.0000, 0.0000, 0.0000], [0.5000, 0.5000, 0.8182], [0.0000, 0.0000, 0.3674], [0.5000, 0.5000, 0.5000], [0.5000, 0.5000, 0.1818]]}

{"formula": "PmY2Al3", "functional": "PBE-GGA", "state": "optimized geometry", "formation_energy_ev_per_atom": -0.4038, "e_tot_ev_per_atom": -5.222, "lattice_angstrom": [[3.6232, 0.0000, 0.0000], [0.0000, 3.6232, 0.0000], [0.0000, 0.0000, 10.9869]], "species": ["Y", "Pm", "Al", "Y", "Al", "Al"], "frac_coords": [[0.5000, 0.5000, 0.1632], [0.5000, 0.5000, 0.5000], [0.0000, 0.0000, 0.6753], [0.5000, 0.5000, 0.8368], [0.0000, 0.0000, 0.3247], [0.0000, 0.0000, 0.0000]]}

{"formula": "Pm3YAl", "functional": "PBE-GGA", "state": "optimized geometry", "formation_energy_ev_per_atom": 0.0648, "polymorph_energy_mev_per_atom": 194, "e_tot_ev_per_atom": -4.827, "lattice_angstrom": [[-1.3752, 4.5358, 3.4253], [-5.1550, -4.6223, 4.0512], [7.6431, 0.5212, 2.3785]], "species": ["Y", "Al", "Pm", "Al", "Pm", "Pm", "Pm", "Y", "Pm", "Pm"], "frac_coords": [[0.7499, 0.6667, 0.3334], [0.0000, 0.0000, 0.0000], [0.2500, 0.3794, 0.1897], [0.5000, 0.0000, 0.0000], [0.7500, 0.1897, 0.3794], [0.2500, 0.8103, 0.1896], [0.7500, 0.6206, 0.8103], [0.2501, 0.3333, 0.6666], [0.7500, 0.1897, 0.8104], [0.2500, 0.8103, 0.6206]]}

{"formula": "PmYAl6", "functional": "PBE-GGA", "state": "optimized geometry", "formation_energy_ev_per_atom": -0.4423, "e_tot_ev_per_atom": -4.651, "lattice_angstrom": [[-1.6201, -4.2914, 0.8049], [3.9193, -0.5493, 4.9603], [-5.8348, 2.3563, 0.8185]], "species": ["Al", "Al", "Al", "Y", "Al", "Al", "Pm", "Al"], "frac_coords": [[0.0000, 0.6069, 0.9637], [0.0000, 0.6066, 0.3934], [0.5000, 0.8947, 0.5399], [0.0000, 0.0835, 0.9165], [0.5000, 0.8951, 0.1049], [0.5000, 0.4601, 0.1053], [0.5000, 0.4164, 0.5836], [0.0000, 0.0363, 0.3931]]}

{"formula": "Pm2Y8Al", "functional": "PBE-GGA", "state": "optimized geometry", "formation_energy_ev_per_atom": -0.0426, "polymorph_energy_mev_per_atom": 0, "e_tot_ev_per_atom": -5.948, "lattice_angstrom": [[5.3034, 0.0000, -1.5224], [-0.1113, 6.4844, -0.3879], [0.0176, -0.0847, 10.0597]], "species": ["Y", "Y", "Pm", "Al", "Y", "Pm", "Y", "Y", "Y", "Y", "Y"], "frac_coords": [[0.9580, 0.7475, 0.9160], [0.5770, 0.6058, 0.1539], [0.7580, 0.6651, 0.5160], [0.5000, 0.0000, 0.0000], [0.6565, 0.1241, 0.3130], [0.2420, 0.3349, 0.4840], [0.4230, 0.3942, 0.8461], [0.1542, 0.8144, 0.3084], [0.0420, 0.2525, 0.0840], [0.8458, 0.1856, 0.6916], [0.3435, 0.8759, 0.6870]]}

{"formula": "Pm5YAl3", "functional": "PBE-GGA", "state": "optimized geometry", "formation_energy_ev_per_atom": -0.2452, "e_tot_ev_per_atom": -4.850, "lattice_angstrom": [[6.8062, 0.0000, 0.0000], [0.0000, 9.2459, 0.0000], [0.0000, -4.6229, 8.0109]], "species": ["Pm", "Pm", "Pm", "Al", "Pm", "Pm", "Y", "Al", "Al", "Pm", "Pm", "Y", "Al", "Al", "Al", "Pm", "Pm", "Pm"], "frac_coords": [[0.7500, 0.9997, 0.3370], [0.5000, 0.3327, 0.6655], [0.2500, 0.6624, 0.0000], [0.2500, 0.3257, 0.0000], [0.0000, 0.3327, 0.6655], [0.2500, 0.3374, 0.3370], [0.5000, 0.0000, 0.0000], [0.2500, 0.6742, 0.6742], [0.2500, 0.0000, 0.3258], [0.7500, 0.3376, 0.0000], [0.7500, 0.6626, 0.6630], [0.0000, 0.0000, 0.0000], [0.7500, 0.0000, 0.6742], [0.7500, 0.3258, 0.3258], [0.7500, 0.6743, 0.0000], [0.5000, 0.6673, 0.3345], [0.2500, 0.0003, 0.6630], [0.0000, 0.6673, 0.3345]]}

{"formula": "Pm14YAl", "functional": "PBE-GGA", "state": "optimized geometry", "formation_energy_ev_per_atom": 0.0188, "e_tot_ev_per_atom": -4.776, "lattice_angstrom": [[-0.3223, -6.9257, -0.8942], [-0.2026, 1.1021, 6.9002], [-11.2779, 0.5795, -0.4237]], "species": ["Pm", "Pm", "Pm", "Pm", "Pm", "Y", "Pm", "Pm", "Pm", "Pm", "Pm", "Pm", "Pm", "Pm", "Pm", "Al"], "frac_coords": [[0.1008, 0.3122, 0.7683], [0.1008, 0.3122, 0.2317], [0.3826, 0.6174, 0.5000], [0.6159, 0.3841, 0.2331], [0.6878, 0.8992, 0.2317], [0.3832, 0.6168, 0.0000], [0.1796, 0.8204, 0.2586], [0.9003, 0.6763, 0.0000], [0.6878, 0.8992, 0.7683], [0.8162, 0.1838, 0.5000], [0.6159, 0.3841, 0.7669], [0.3115, 0.1147, 0.5000], [0.3237, 0.0997, 0.0000], [0.1796, 0.8204, 0.7414], [0.8853, 0.6885, 0.5000], [0.8290, 0.1710, 0.0000]]}